Entry 1:
VASP calculation (GGA-PBE) on crystalline Na2NiMo at its relaxed geometry.

The structure in POSCAR format:
```
Na2NiMo
1.0
3.984 1.157 2.495
0.772 4.589 1.336
-0.343 1.254 4.663
Ni Mo Na
1 1 2
Direct
0.000 0.000 0.000
0.500 0.500 0.500
0.250 0.250 0.250
0.750 0.750 0.750
```

Output
Crystal system: cubic
Offset from the most stable computed form, eV/f.u.: 0.503
Final energy, eV per atom: -3.47
DFT formation energy, meV/atom: 1344

---

Entry 2:
VASP calculation (GGA-PBE) on crystalline Ca3IBr2O6 at its relaxed geometry.

The structure in POSCAR format:
```
Ca3IBr2O6
1.0
-3.611 -4.401 -0.309
1.254 -0.573 -6.493
3.574 -3.861 4.424
Ca I Br O
3 1 2 6
Direct
0.000 0.500 0.000
0.500 0.500 0.500
0.500 0.000 0.500
0.500 0.000 0.000
0.113 0.717 0.433
0.887 0.283 0.567
0.694 0.266 0.101
0.306 0.734 0.899
0.653 0.855 0.709
0.347 0.145 0.291
0.306 0.164 0.899
0.694 0.836 0.101
```

Output
Crystal system: monoclinic
Final energy, eV per atom: -4.86
Uncorrected formation energy, eV/atom: -1.47

---

Entry 3:
VASP calculation (GGA-PBE) on crystalline LaPr6Y12 at its relaxed geometry.

The structure in POSCAR format:
```
LaPr6Y12
1.0
-6.849 5.329 1.291
-4.414 -4.553 6.063
2.590 4.154 7.281
La Pr Y
1 6 12
Direct
0.000 0.000 0.000
0.772 0.772 0.164
0.836 0.228 0.228
0.228 0.836 0.228
0.228 0.228 0.836
0.164 0.772 0.772
0.772 0.164 0.772
0.803 0.484 0.483
0.483 0.803 0.484
0.484 0.483 0.803
0.197 0.516 0.517
0.517 0.197 0.516
0.516 0.517 0.197
0.137 0.137 0.479
0.863 0.521 0.863
0.521 0.863 0.863
0.863 0.863 0.521
0.137 0.479 0.137
0.479 0.137 0.137
```

Output
Crystal system: trigonal
Offset from the most stable computed form, eV/f.u.: 1.551
Final energy, eV per atom: -5.75
DFT formation energy, meV/atom: 100

---

Entry 4:
VASP calculation (GGA-PBE) on crystalline Tm12ThCo6 at its relaxed geometry.

The structure in POSCAR format:
```
Tm12ThCo6
1.0
1.608 7.946 -1.966
2.408 -4.956 -6.263
-8.186 -0.941 1.300
Tm Th Co
12 1 6
Direct
0.307 0.115 0.808
0.307 0.499 0.192
0.693 0.501 0.808
0.693 0.885 0.192
0.115 0.808 0.307
0.499 0.192 0.307
0.501 0.808 0.693
0.885 0.192 0.693
0.808 0.307 0.115
0.192 0.307 0.499
0.808 0.693 0.501
0.192 0.693 0.885
0.000 0.000 0.000
0.386 0.500 0.886
0.614 0.500 0.114
0.500 0.886 0.386
0.500 0.114 0.614
0.886 0.386 0.500
0.114 0.614 0.500
```

Output
Crystal system: cubic
Final energy, eV per atom: -5.61
DFT formation energy, meV/atom: -148

---

Entry 5:
VASP calculation (GGA-PBE) on crystalline LaNiRu2 at its relaxed geometry.

The structure in POSCAR format:
```
LaNiRu2
1.0
-0.992 -2.023 -2.140
2.866 -3.213 1.710
-3.408 -1.463 2.963
La Ni Ru
1 1 2
Direct
0.500 0.000 0.500
0.000 0.500 0.500
0.000 0.000 0.000
0.500 0.500 0.000
```

Output
Crystal system: orthorhombic
Offset from the most stable computed form, eV/f.u.: 1.568
Final energy, eV per atom: -6.99
DFT formation energy, meV/atom: 326

---

Entry 6:
VASP calculation (GGA-PBE) on crystalline K2Al2O7 at its relaxed geometry.

The structure in POSCAR format:
```
K2Al2O7
1.0
4.155 -5.378 0.000
4.155 5.378 0.000
0.000 0.000 7.973
K Al O
4 4 14
Direct
0.517 0.497 0.273
0.503 0.483 0.727
0.017 0.997 0.227
0.003 0.983 0.773
0.548 0.070 0.988
0.930 0.452 0.012
0.048 0.570 0.512
0.430 0.952 0.488
0.323 0.156 0.488
0.844 0.677 0.512
0.823 0.656 0.012
0.344 0.177 0.988
0.470 0.907 0.176
0.093 0.530 0.824
0.970 0.407 0.324
0.593 0.030 0.676
0.609 0.975 0.309
0.025 0.391 0.691
0.109 0.475 0.191
0.525 0.891 0.809
0.299 0.701 0.500
0.799 0.201 0.000
```

Output
Crystal system: orthorhombic
Final energy, eV per atom: -5.58
Uncorrected formation energy, eV/atom: -1.54

---

Entry 7:
VASP calculation (GGA-PBE) on crystalline LiSnH2Pd4 at its relaxed geometry.

The structure in POSCAR format:
```
LiSnH2Pd4
1.0
3.906 0.000 0.000
0.000 3.906 0.000
0.000 0.000 7.431
Li Sn H Pd
1 1 2 4
Direct
0.000 0.000 0.500
0.000 0.000 0.000
0.500 0.500 0.279
0.500 0.500 0.721
0.000 0.500 0.258
0.500 0.000 0.742
0.500 0.000 0.258
0.000 0.500 0.742
```

Output
Crystal system: tetragonal
Final energy, eV per atom: -4.45

---

Entry 8:
VASP calculation (GGA-PBE) on crystalline Sr2Cd2Bi3 at its relaxed geometry.

The structure in POSCAR format:
```
Sr2Cd2Bi3
1.0
4.831 0.000 1.071
2.241 8.882 1.322
0.075 -0.056 11.095
Sr Cd Bi
4 4 6
Direct
0.261 0.143 0.335
0.739 0.857 0.665
0.412 0.243 0.934
0.588 0.757 0.066
0.045 0.220 0.691
0.955 0.780 0.309
0.406 0.523 0.664
0.594 0.477 0.336
0.095 0.937 0.872
0.905 0.063 0.128
0.167 0.493 0.172
0.833 0.507 0.828
0.376 0.780 0.467
0.624 0.220 0.533
```

Output
Crystal system: monoclinic
Final energy, eV per atom: -2.93
DFT formation energy, meV/atom: -524

---

Entry 9:
VASP calculation (GGA-PBE) on crystalline Be17VNi at its relaxed geometry.

The structure in POSCAR format:
```
Be17VNi
1.0
-3.947 -0.006 -3.764
-3.575 -3.091 2.723
-2.990 4.050 2.098
Be V Ni
17 1 1
Direct
0.304 0.004 0.690
0.690 0.304 0.004
0.004 0.690 0.304
0.304 0.690 0.004
0.004 0.304 0.690
0.690 0.004 0.304
0.348 0.842 0.348
0.348 0.348 0.842
0.842 0.348 0.348
0.652 0.166 0.652
0.652 0.652 0.166
0.166 0.652 0.652
0.988 0.507 0.988
0.988 0.988 0.507
0.507 0.988 0.988
0.900 0.900 0.900
0.105 0.105 0.105
0.662 0.662 0.662
0.349 0.349 0.349
```

Output
Crystal system: trigonal
Final energy, eV per atom: -4.22
DFT formation energy, meV/atom: -105

---

Entry 10:
VASP calculation (GGA-PBE) on crystalline Sr2ScZn at its relaxed geometry.

The structure in POSCAR format:
```
Sr2ScZn
1.0
3.732 0.000 0.000
0.000 3.732 0.000
0.000 0.000 9.660
Sc Sr Zn
1 2 1
Direct
0.500 0.500 0.674
0.000 0.000 0.956
0.500 0.500 0.320
0.000 0.000 0.551
```

Output
Crystal system: tetragonal
Final energy, eV per atom: -2.75
DFT formation energy, meV/atom: -9

---

Entry 11:
VASP calculation (GGA-PBE) on crystalline ZrSn3Pt at its relaxed geometry.

The structure in POSCAR format:
```
ZrSn3Pt
1.0
-5.154 -1.585 -0.907
1.755 -5.049 -1.150
-0.505 -1.375 5.268
Zr Sn Pt
1 3 1
Direct
0.000 0.000 0.000
0.000 0.500 0.000
0.000 0.000 0.500
0.500 0.000 0.000
0.500 0.500 0.500
```

Output
Crystal system: cubic
Offset from the most stable computed form, eV/f.u.: 2.325
Final energy, eV per atom: -4.45
DFT formation energy, meV/atom: 866

---

Entry 12:
VASP calculation (GGA-PBE) on crystalline NaPm8Pb6 at its relaxed geometry.

The structure in POSCAR format:
```
NaPm8Pb6
1.0
-6.953 1.099 6.393
-4.042 -7.628 3.987
0.777 -2.019 8.265
Na Pm Pb
1 8 6
Direct
0.000 0.000 0.000
0.589 0.222 0.289
0.778 0.101 0.711
0.101 0.411 0.711
0.668 0.668 0.997
0.332 0.332 0.003
0.899 0.589 0.289
0.222 0.899 0.289
0.411 0.778 0.711
0.421 0.070 0.780
0.930 0.271 0.220
0.271 0.579 0.220
0.729 0.421 0.780
0.070 0.729 0.780
0.579 0.930 0.220
```

Output
Crystal system: trigonal
Final energy, eV per atom: -4.49
DFT formation energy, meV/atom: -384

---

Entry 13:
VASP calculation (GGA-PBE) on crystalline Sc5Tl3Hg at its relaxed geometry.

The structure in POSCAR format:
```
Sc5Tl3Hg
1.0
6.338 0.000 0.000
0.000 7.589 -4.382
0.000 0.000 8.763
Sc Tl Hg
10 6 2
Direct
0.000 0.667 0.333
0.500 0.333 0.667
0.000 0.333 0.667
0.500 0.667 0.333
0.750 0.713 0.713
0.750 0.000 0.287
0.750 0.287 0.000
0.250 0.287 0.287
0.250 0.000 0.713
0.250 0.713 0.000
0.750 0.377 0.377
0.750 0.000 0.623
0.750 0.623 0.000
0.250 0.623 0.623
0.250 0.000 0.377
0.250 0.377 0.000
0.000 0.000 0.000
0.500 0.000 0.000
```

Output
Crystal system: hexagonal
Final energy, eV per atom: -4.66
DFT formation energy, meV/atom: -319

---

Entry 14:
VASP calculation (GGA-PBE) on crystalline Pr2GaP2N6 at its relaxed geometry.

The structure in POSCAR format:
```
Pr2GaP2N6
1.0
-1.553 2.399 4.700
-3.341 -3.592 -2.489
2.480 -4.446 3.088
Pr Ga P N
2 1 2 6
Direct
0.667 0.333 0.661
0.333 0.667 0.339
0.000 0.000 0.000
0.333 0.667 0.838
0.667 0.333 0.162
0.095 0.348 0.781
0.652 0.747 0.781
0.253 0.905 0.781
0.905 0.652 0.219
0.348 0.253 0.219
0.747 0.095 0.219
```

Output
Crystal system: trigonal
Final energy, eV per atom: -7.13
Uncorrected formation energy, eV/atom: -0.46